DFT (PBE-GGA) results for an optimized crystal structure of Gd2DyAl3Cu2Ni.

The structure in CIF format:
```
data_Gd2DyAl3Cu2Ni
_symmetry_space_group_name_H-M 'A m m 2'
_symmetry_Int_Tables_number 38
_cell_length_a 3.979
_cell_length_b 12.219
_cell_length_c 7.025
_cell_angle_alpha 90.00
_cell_angle_beta 90.00
_cell_angle_gamma 90.00
loop_
_symmetry_equiv_pos_as_xyz
'x,y,z'
'-x,-y,z'
'-x,y,z'
'x,-y,z'
'x,y+1/2,z+1/2'
'-x,-y+1/2,z+1/2'
'-x,y+1/2,z+1/2'
'x,-y+1/2,z+1/2'
loop_
_atom_site_label
_atom_site_type_symbol
_atom_site_fract_x
_atom_site_fract_y
_atom_site_fract_z
Gd1 Gd 0.000 0.206 0.000
Dy1 Dy 0.000 0.000 0.618
Al1 Al 0.500 0.000 0.977
Al2 Al 0.500 0.114 0.322
Cu1 Cu 0.500 0.165 0.706
Ni1 Ni 0.000 0.000 0.209
```

DFT (PBE-GGA) results for an optimized crystal structure of Ho4GaNi2Sn4.

The structure in CIF format:
```
data_Ho4GaNi2Sn4
_symmetry_space_group_name_H-M 'C 1 2/m 1'
_symmetry_Int_Tables_number 12
_cell_length_a 15.790
_cell_length_b 4.568
_cell_length_c 7.313
_cell_angle_alpha 90.00
_cell_angle_beta 108.94
_cell_angle_gamma 90.00
loop_
_symmetry_equiv_pos_as_xyz
'x,y,z'
'-x,-y,-z'
'-x,y,-z'
'x,-y,z'
'x+1/2,y+1/2,z'
'-x+1/2,-y+1/2,-z'
'-x+1/2,y+1/2,-z'
'x+1/2,-y+1/2,z'
loop_
_atom_site_label
_atom_site_type_symbol
_atom_site_fract_x
_atom_site_fract_y
_atom_site_fract_z
Ho1 Ho 0.091 0.000 0.395
Ho2 Ho 0.153 0.000 0.955
Ga1 Ga 0.000 0.500 0.000
Ni1 Ni 0.222 0.500 0.652
Sn1 Sn 0.068 0.500 0.683
Sn2 Sn 0.201 0.500 0.273
```

DFT (PBE-GGA) results for an optimized crystal structure of BaDy8P4.

The structure in CIF format:
```
data_BaDy8P4
_symmetry_space_group_name_H-M 'I 4/m'
_symmetry_Int_Tables_number 87
_symmetry_space_group_name_Hall '-I 4'
_cell_length_a 12.620
_cell_length_b 12.620
_cell_length_c 4.804
_cell_angle_alpha 90.00
_cell_angle_beta 90.00
_cell_angle_gamma 90.00
loop_
_atom_site_label
_atom_site_type_symbol
_atom_site_fract_x
_atom_site_fract_y
_atom_site_fract_z
Ba1 Ba 0.000 0.000 0.000
Dy1 Dy 0.029 0.356 0.000
Dy2 Dy 0.168 0.239 0.500
P1 P 0.049 0.743 0.500
```

DFT (PBE-GGA) results for an optimized crystal structure of CsTmSbSe3.

The structure in CIF format:
```
data_CsTmSbSe3
_symmetry_space_group_name_H-M 'C m c m'
_symmetry_Int_Tables_number 63
_symmetry_space_group_name_Hall '-C 2c 2'
_cell_length_a 3.939
_cell_length_b 17.751
_cell_length_c 11.878
_cell_angle_alpha 90.00
_cell_angle_beta 90.00
_cell_angle_gamma 90.00
loop_
_atom_site_label
_atom_site_type_symbol
_atom_site_fract_x
_atom_site_fract_y
_atom_site_fract_z
Cs1 Cs 0.000 0.198 0.250
Tm1 Tm 0.000 0.500 0.000
Sb1 Sb 0.000 0.106 0.750
Se1 Se 0.000 0.112 0.513
Se2 Se 0.000 0.484 0.750
```

DFT (PBE-GGA) results for an optimized crystal structure of BIr.

The structure in CIF format:
```
data_BIr
_symmetry_space_group_name_H-M 'F m -3 m'
_symmetry_Int_Tables_number 225
_symmetry_space_group_name_Hall '-F 4 2 3'
_cell_length_a 4.447
_cell_length_b 4.447
_cell_length_c 4.447
_cell_angle_alpha 90.00
_cell_angle_beta 90.00
_cell_angle_gamma 90.00
loop_
_atom_site_label
_atom_site_type_symbol
_atom_site_fract_x
_atom_site_fract_y
_atom_site_fract_z
B1 B 0.000 0.000 0.000
Ir1 Ir 0.000 0.000 0.500
```

DFT (PBE-GGA) results for an optimized crystal structure of Tb2DyMg3AlTl2.

The structure in CIF format:
```
data_Tb2DyMg3AlTl2
_symmetry_space_group_name_H-M 'A m m 2'
_symmetry_Int_Tables_number 38
_cell_length_a 4.614
_cell_length_b 13.014
_cell_length_c 7.522
_cell_angle_alpha 90.00
_cell_angle_beta 90.00
_cell_angle_gamma 90.00
loop_
_symmetry_equiv_pos_as_xyz
'x,y,z'
'-x,-y,z'
'-x,y,z'
'x,-y,z'
'x,y+1/2,z+1/2'
'-x,-y+1/2,z+1/2'
'-x,y+1/2,z+1/2'
'x,-y+1/2,z+1/2'
loop_
_atom_site_label
_atom_site_type_symbol
_atom_site_fract_x
_atom_site_fract_y
_atom_site_fract_z
Tb1 Tb 0.000 0.213 0.000
Dy1 Dy 0.000 0.000 0.360
Mg1 Mg 0.500 0.000 0.023
Mg2 Mg 0.500 0.119 0.668
Al1 Al 0.000 0.000 0.785
Tl1 Tl 0.500 0.166 0.287
```

DFT (PBE-GGA) results for an optimized crystal structure of Co2P.

The structure in CIF format:
```
data_Co2P
_symmetry_space_group_name_H-M 'P n m a'
_symmetry_Int_Tables_number 62
_cell_length_a 5.508
_cell_length_b 3.504
_cell_length_c 6.578
_cell_angle_alpha 90.00
_cell_angle_beta 90.00
_cell_angle_gamma 90.00
loop_
_symmetry_equiv_pos_as_xyz
'x,y,z'
'-x,-y,-z'
'-x+1/2,-y,z+1/2'
'x+1/2,y,-z+1/2'
'x+1/2,-y+1/2,-z+1/2'
'-x+1/2,y+1/2,z+1/2'
'-x,y+1/2,-z'
'x,-y+1/2,z'
loop_
_atom_site_label
_atom_site_type_symbol
_atom_site_fract_x
_atom_site_fract_y
_atom_site_fract_z
Co1 Co 0.032 0.250 0.169
Co2 Co 0.145 0.250 0.565
P1 P 0.249 0.750 0.379
```

DFT (PBE-GGA) results for an optimized crystal structure of Ba2CdTe3.

The structure in CIF format:
```
data_Ba2CdTe3
_symmetry_space_group_name_H-M 'P n m a'
_symmetry_Int_Tables_number 62
_cell_length_a 9.960
_cell_length_b 4.802
_cell_length_c 19.285
_cell_angle_alpha 90.00
_cell_angle_beta 90.00
_cell_angle_gamma 90.00
loop_
_symmetry_equiv_pos_as_xyz
'x,y,z'
'-x,-y,-z'
'-x+1/2,-y,z+1/2'
'x+1/2,y,-z+1/2'
'x+1/2,-y+1/2,-z+1/2'
'-x+1/2,y+1/2,z+1/2'
'-x,y+1/2,-z'
'x,-y+1/2,z'
loop_
_atom_site_label
_atom_site_type_symbol
_atom_site_fract_x
_atom_site_fract_y
_atom_site_fract_z
Ba1 Ba 0.073 0.250 0.214
Ba2 Ba 0.246 0.250 0.963
Cd1 Cd 0.130 0.250 0.636
Te1 Te 0.013 0.250 0.404
Te2 Te 0.113 0.750 0.072
Te3 Te 0.193 0.250 0.780
```

DFT (PBE-GGA) results for an optimized crystal structure of Zn2Re2O5.

The structure in CIF format:
```
data_Zn2Re2O5
_symmetry_space_group_name_H-M 'P 4/m m m'
_symmetry_Int_Tables_number 123
_symmetry_space_group_name_Hall '-P 4 2'
_cell_length_a 3.900
_cell_length_b 3.900
_cell_length_c 6.689
_cell_angle_alpha 90.00
_cell_angle_beta 90.00
_cell_angle_gamma 90.00
loop_
_atom_site_label
_atom_site_type_symbol
_atom_site_fract_x
_atom_site_fract_y
_atom_site_fract_z
Zn1 Zn 0.000 0.000 0.000
Zn2 Zn 0.000 0.000 0.500
Re1 Re 0.500 0.500 0.174
O1 O 0.000 0.500 0.219
O2 O 0.500 0.500 0.500
```

DFT (PBE-GGA) results for an optimized crystal structure of GdTmSi4Ir2.

The structure in CIF format:
```
data_GdTmSi4Ir2
_symmetry_space_group_name_H-M 'A m m 2'
_symmetry_Int_Tables_number 38
_cell_length_a 2.965
_cell_length_b 3.955
_cell_length_c 28.476
_cell_angle_alpha 90.00
_cell_angle_beta 90.00
_cell_angle_gamma 90.00
loop_
_symmetry_equiv_pos_as_xyz
'x,y,z'
'-x,-y,z'
'-x,y,z'
'x,-y,z'
'x,y+1/2,z+1/2'
'-x,-y+1/2,z+1/2'
'-x,y+1/2,z+1/2'
'x,-y+1/2,z+1/2'
loop_
_atom_site_label
_atom_site_type_symbol
_atom_site_fract_x
_atom_site_fract_y
_atom_site_fract_z
Gd1 Gd 0.000 0.000 0.000
Tm1 Tm 0.000 0.000 0.693
Si1 Si 0.000 0.000 0.120
Si2 Si 0.000 0.000 0.575
Si3 Si 0.000 0.000 0.803
Si4 Si 0.000 0.000 0.888
Ir1 Ir 0.000 0.000 0.263
Ir2 Ir 0.000 0.000 0.428
```

DFT (PBE-GGA) results for an optimized crystal structure of NbZnPt.

Values from the calculation:
- Formation energy from the elements: 0.113 eV/atom

The structure in CIF format:
```
data_NbZnPt
_symmetry_space_group_name_H-M 'F -4 3 m'
_symmetry_Int_Tables_number 216
_symmetry_space_group_name_Hall 'F -4 2 3'
_cell_length_a 6.133
_cell_length_b 6.133
_cell_length_c 6.133
_cell_angle_alpha 90.00
_cell_angle_beta 90.00
_cell_angle_gamma 90.00
loop_
_atom_site_label
_atom_site_type_symbol
_atom_site_fract_x
_atom_site_fract_y
_atom_site_fract_z
Nb1 Nb 0.000 0.000 0.000
Zn1 Zn 0.250 0.250 0.750
Pt1 Pt 0.250 0.250 0.250
```

DFT (PBE-GGA) results for an optimized crystal structure of DyTaPb.

The structure in CIF format:
```
data_DyTaPb
_symmetry_space_group_name_H-M 'F -4 3 m'
_symmetry_Int_Tables_number 216
_symmetry_space_group_name_Hall 'F -4 2 3'
_cell_length_a 6.888
_cell_length_b 6.888
_cell_length_c 6.888
_cell_angle_alpha 90.00
_cell_angle_beta 90.00
_cell_angle_gamma 90.00
loop_
_atom_site_label
_atom_site_type_symbol
_atom_site_fract_x
_atom_site_fract_y
_atom_site_fract_z
Dy1 Dy 0.000 0.000 0.000
Ta1 Ta 0.000 0.000 0.500
Pb1 Pb 0.250 0.250 0.250
```

DFT (PBE-GGA) results for an optimized crystal structure of KPr3Te8.

The structure in CIF format:
```
data_KPr3Te8
_symmetry_space_group_name_H-M 'P 1 21/c 1'
_symmetry_Int_Tables_number 14
_cell_length_a 14.404
_cell_length_b 13.003
_cell_length_c 9.053
_cell_angle_alpha 90.00
_cell_angle_beta 98.98
_cell_angle_gamma 90.00
loop_
_symmetry_equiv_pos_as_xyz
'x,y,z'
'-x,-y,-z'
'-x,y+1/2,-z+1/2'
'x,-y+1/2,z+1/2'
loop_
_atom_site_label
_atom_site_type_symbol
_atom_site_fract_x
_atom_site_fract_y
_atom_site_fract_z
K1 K 0.036 0.092 0.259
Pr1 Pr 0.347 0.749 0.087
Pr2 Pr 0.350 0.085 0.081
Pr3 Pr 0.352 0.084 0.596
Te1 Te 0.165 0.728 0.792
Te2 Te 0.170 0.581 0.552
Te3 Te 0.171 0.580 0.033
Te4 Te 0.173 0.096 0.793
Te5 Te 0.176 0.249 0.544
Te6 Te 0.414 0.580 0.851
Te7 Te 0.416 0.585 0.356
Te8 Te 0.419 0.246 0.355
```

DFT (PBE-GGA) results for an optimized crystal structure of NbCdBi.

The structure in CIF format:
```
data_NbCdBi
_symmetry_space_group_name_H-M 'F -4 3 m'
_symmetry_Int_Tables_number 216
_symmetry_space_group_name_Hall 'F -4 2 3'
_cell_length_a 6.831
_cell_length_b 6.831
_cell_length_c 6.831
_cell_angle_alpha 90.00
_cell_angle_beta 90.00
_cell_angle_gamma 90.00
loop_
_atom_site_label
_atom_site_type_symbol
_atom_site_fract_x
_atom_site_fract_y
_atom_site_fract_z
Nb1 Nb 0.000 0.000 0.000
Cd1 Cd 0.250 0.250 0.250
Bi1 Bi 0.250 0.250 0.750
```

DFT (PBE-GGA) results for an optimized crystal structure of RbNa2Cd2.

The structure in CIF format:
```
data_RbNa2Cd2
_symmetry_space_group_name_H-M 'I 4/m m m'
_symmetry_Int_Tables_number 139
_symmetry_space_group_name_Hall '-I 4 2'
_cell_length_a 4.996
_cell_length_b 4.996
_cell_length_c 13.708
_cell_angle_alpha 90.00
_cell_angle_beta 90.00
_cell_angle_gamma 90.00
loop_
_atom_site_label
_atom_site_type_symbol
_atom_site_fract_x
_atom_site_fract_y
_atom_site_fract_z
Rb1 Rb 0.000 0.000 0.000
Na1 Na 0.000 0.500 0.250
Cd1 Cd 0.000 0.000 0.393
```

DFT (PBE-GGA) results for an optimized crystal structure of CdReAsO.

The structure in CIF format:
```
data_CdReAsO
_symmetry_space_group_name_H-M 'P m c 21'
_symmetry_Int_Tables_number 26
_cell_length_a 3.068
_cell_length_b 7.482
_cell_length_c 5.818
_cell_angle_alpha 90.00
_cell_angle_beta 90.00
_cell_angle_gamma 90.00
loop_
_symmetry_equiv_pos_as_xyz
'x,y,z'
'-x,-y,z+1/2'
'-x,y,z'
'x,-y,z+1/2'
loop_
_atom_site_label
_atom_site_type_symbol
_atom_site_fract_x
_atom_site_fract_y
_atom_site_fract_z
Cd1 Cd 0.000 0.071 0.000
Re1 Re 0.500 0.495 0.709
As1 As 0.000 0.307 0.460
O1 O 0.500 0.308 0.963
```

DFT (PBE-GGA) results for an optimized crystal structure of Ta8P2C3N3.

The structure in CIF format:
```
data_Ta8P2C3N3
_symmetry_space_group_name_H-M 'P -3 m 1'
_symmetry_Int_Tables_number 164
_symmetry_space_group_name_Hall '-P 3 2"'
_cell_length_a 3.1860
_cell_length_b 3.1860
_cell_length_c 22.1087
_cell_angle_alpha 90.00
_cell_angle_beta 90.00
_cell_angle_gamma 120.00
loop_
_atom_site_label
_atom_site_type_symbol
_atom_site_fract_x
_atom_site_fract_y
_atom_site_fract_z
Ta1 Ta 0.0000 0.0000 0.1702
Ta2 Ta 0.0000 0.0000 0.3276
Ta3 Ta 0.3333 0.6667 0.0601
Ta4 Ta 0.3333 0.6667 0.4456
P1 P 0.3333 0.6667 0.2517
C1 C 0.0000 0.0000 0.0000
C2 C 0.3333 0.6667 0.8840
N1 N 0.0000 0.0000 0.5000
N2 N 0.3333 0.6667 0.6114
```

DFT (PBE-GGA) results for an optimized crystal structure of Ta4FeAsN2.

The structure in CIF format:
```
data_Ta4FeAsN2
_symmetry_space_group_name_H-M 'P -6 m 2'
_symmetry_Int_Tables_number 187
_symmetry_space_group_name_Hall 'P -6 2'
_cell_length_a 3.1438
_cell_length_b 3.1438
_cell_length_c 12.6081
_cell_angle_alpha 90.00
_cell_angle_beta 90.00
_cell_angle_gamma 120.00
loop_
_atom_site_label
_atom_site_type_symbol
_atom_site_fract_x
_atom_site_fract_y
_atom_site_fract_z
Ta1 Ta 0.0000 0.0000 0.1489
Ta2 Ta 0.3333 0.6667 0.3454
Fe1 Fe 0.3333 0.6667 0.0000
As1 As 0.0000 0.0000 0.5000
N1 N 0.6667 0.3333 0.2460
```

DFT (PBE-GGA) results for an optimized crystal structure of NdBeMo.

The structure in CIF format:
```
data_NdBeMo
_symmetry_space_group_name_H-M 'F -4 3 m'
_symmetry_Int_Tables_number 216
_symmetry_space_group_name_Hall 'F -4 2 3'
_cell_length_a 6.205
_cell_length_b 6.205
_cell_length_c 6.205
_cell_angle_alpha 90.00
_cell_angle_beta 90.00
_cell_angle_gamma 90.00
loop_
_atom_site_label
_atom_site_type_symbol
_atom_site_fract_x
_atom_site_fract_y
_atom_site_fract_z
Nd1 Nd 0.000 0.000 0.000
Be1 Be 0.250 0.250 0.750
Mo1 Mo 0.000 0.000 0.500
```

DFT (PBE-GGA) results for an optimized crystal structure of Li2Mg2Al2NiAu.

The structure in CIF format:
```
data_Li2Mg2Al2NiAu
_symmetry_space_group_name_H-M 'P -4 m 2'
_symmetry_Int_Tables_number 115
_cell_length_a 4.372
_cell_length_b 4.372
_cell_length_c 6.308
_cell_angle_alpha 90.00
_cell_angle_beta 90.00
_cell_angle_gamma 90.00
loop_
_symmetry_equiv_pos_as_xyz
'x,y,z'
'y,-x,-z'
'-x,-y,z'
'-y,x,-z'
'-x,y,z'
'-y,-x,-z'
'x,-y,z'
'y,x,-z'
loop_
_atom_site_label
_atom_site_type_symbol
_atom_site_fract_x
_atom_site_fract_y
_atom_site_fract_z
Li1 Li 0.000 0.000 0.000
Li2 Li 0.500 0.500 0.500
Mg1 Mg 0.000 0.500 0.237
Al1 Al 0.000 0.500 0.772
Ni1 Ni 0.500 0.500 0.000
Au1 Au 0.000 0.000 0.500
```

Number 1: total DFT energy (no corrections) -4.733 eV/atom. Number 2: total DFT energy (no corrections) -5.018 eV/atom. Number 3: total DFT energy (no corrections) -5.162 eV/atom. Number 4: total DFT energy (no corrections) -4.330 eV/atom. Number 5: total DFT energy (no corrections) -7.504 eV/atom. Number 6: total DFT energy (no corrections) -3.316 eV/atom. Number 7: total DFT energy (no corrections) -7.064 eV/atom. Number 8: total DFT energy (no corrections) -3.692 eV/atom. Number 9: total DFT energy (no corrections) -6.520 eV/atom. Number 10: total DFT energy (no corrections) -5.950 eV/atom. Number 11: total DFT energy (no corrections) -5.692 eV/atom. Number 12: total DFT energy (no corrections) -6.070 eV/atom. Number 13: total DFT energy (no corrections) -4.535 eV/atom. Number 14: total DFT energy (no corrections) -4.448 eV/atom. Number 15: total DFT energy (no corrections) -1.095 eV/atom. Number 16: total DFT energy (no corrections) -6.047 eV/atom. Number 17: total DFT energy (no corrections) -10.622 eV/atom. Number 18: total DFT energy (no corrections) -10.103 eV/atom. Number 19: total DFT energy (no corrections) -5.680 eV/atom. Number 20: total DFT energy (no corrections) -3.304 eV/atom.